# Be2SbSe | Alexandria via LeMat-Bulk | PBE | optimized geometry
data_Be2SbSe
_chemical_formula_sum 'Be2 Sb1 Se1'
_cell_length_a 3.170
_cell_length_b 3.170
_cell_length_c 6.660
_cell_angle_alpha 90.00
_cell_angle_beta 90.00
_cell_angle_gamma 90.00
_space_group_name_H-M_alt 'P 4/m m m'
_space_group_IT_number 123
_space_group_name_Hall '-P 4 2'
loop_
_atom_site_label
_atom_site_type_symbol
_atom_site_fract_x
_atom_site_fract_y
_atom_site_fract_z
Be1 Be 0.000 0.000 0.176
Sb1 Sb 0.500 0.500 0.500
Se1 Se 0.500 0.500 0.000
# E_form (uncorrected)   510 meV per atom
# Calculated total energy   -3.255 eV/atom
# Mass density   5.427 g/cm3
# Excess energy over the best structure of this formula in the dataset   761 meV per atom

# BeSbSe2 | Alexandria via LeMat-Bulk | PBE | optimized geometry
data_BeSbSe2
_chemical_formula_sum 'Be1 Sb1 Se2'
_cell_length_a 3.281
_cell_length_b 4.361
_cell_length_c 5.768
_cell_angle_alpha 90.00
_cell_angle_beta 90.00
_cell_angle_gamma 90.00
_space_group_name_H-M_alt 'P m m m'
_space_group_IT_number 47
loop_
_space_group_symop_operation_xyz
'x,y,z'
'-x,-y,-z'
'-x,-y,z'
'x,y,-z'
'x,-y,-z'
'-x,y,z'
'-x,y,-z'
'x,-y,z'
loop_
_atom_site_label
_atom_site_type_symbol
_atom_site_fract_x
_atom_site_fract_y
_atom_site_fract_z
Be1 Be 0.000 0.000 0.000
Sb1 Sb 0.500 0.500 0.000
Se1 Se 0.000 0.500 0.500
Se2 Se 0.500 0.000 0.500
# E_form (uncorrected)   529 meV per atom
# Calculated total energy   -3.176 eV/atom
# Mass density   5.808 g/cm3
# Excess energy over the best structure of this formula in the dataset   780 meV per atom

# BeSbSe2 | Alexandria via LeMat-Bulk | PBE | optimized geometry
data_BeSbSe2
_chemical_formula_sum 'Be4 Sb4 Se8'
_cell_length_a 5.238
_cell_length_b 8.059
_cell_length_c 8.080
_cell_angle_alpha 90.00
_cell_angle_beta 90.00
_cell_angle_gamma 90.00
_space_group_name_H-M_alt 'F m m m'
_space_group_IT_number 69
_space_group_name_Hall '-F 2 2'
loop_
_atom_site_label
_atom_site_type_symbol
_atom_site_fract_x
_atom_site_fract_y
_atom_site_fract_z
Be1 Be 0.000 0.000 0.000
Sb1 Sb 0.000 0.000 0.500
Se1 Se 0.000 0.250 0.250
# E_form (uncorrected)   115 meV per atom
# Calculated total energy   -3.590 eV/atom
# Mass density   5.621 g/cm3
# Excess energy over the best structure of this formula in the dataset   366 meV per atom

# BeSbSe2 | Alexandria via LeMat-Bulk | PBE | optimized geometry
data_BeSbSe2
_chemical_formula_sum 'Be2 Sb2 Se4'
_cell_length_a 5.536
_cell_length_b 7.910
_cell_length_c 3.691
_cell_angle_alpha 90.00
_cell_angle_beta 90.00
_cell_angle_gamma 90.00
_space_group_name_H-M_alt 'C m m m'
_space_group_IT_number 65
_space_group_name_Hall '-C 2 2'
loop_
_atom_site_label
_atom_site_type_symbol
_atom_site_fract_x
_atom_site_fract_y
_atom_site_fract_z
Be1 Be 0.000 0.000 0.000
Sb1 Sb 0.000 0.500 0.000
Se1 Se 0.000 0.215 0.500
# E_form (uncorrected)   61 meV per atom
# Calculated total energy   -3.643 eV/atom
# Mass density   5.933 g/cm3
# Excess energy over the best structure of this formula in the dataset   312 meV per atom

# BeSbSe2 | Alexandria via LeMat-Bulk | PBE | optimized geometry
data_BeSbSe2
_chemical_formula_sum 'Be3 Sb3 Se6'
_cell_length_a 4.7981
_cell_length_b 4.7981
_cell_length_c 19.3684
_cell_angle_alpha 90.00
_cell_angle_beta 90.00
_cell_angle_gamma 120.00
_space_group_name_H-M_alt 'R -3 m'
_space_group_IT_number 166
_space_group_name_Hall '-R 3 2"'
loop_
_atom_site_label
_atom_site_type_symbol
_atom_site_fract_x
_atom_site_fract_y
_atom_site_fract_z
Be1 Be 0.0000 0.0000 0.0000
Sb1 Sb 0.0000 0.0000 0.5000
Se1 Se 0.0000 0.0000 0.1050
# E_form (uncorrected)   36 meV per atom
# Calculated total energy   -3.668 eV/atom
# Mass density   3.724 g/cm3
# Excess energy over the best structure of this formula in the dataset   287 meV per atom

# BeTcSb2Se | Alexandria via LeMat-Bulk | PBE | optimized geometry
data_BeTcSb2Se
_chemical_formula_sum 'Be1 Tc1 Sb2 Se1'
_cell_length_a 5.128
_cell_length_b 5.128
_cell_length_c 4.303
_cell_angle_alpha 90.00
_cell_angle_beta 90.00
_cell_angle_gamma 90.00
_space_group_name_H-M_alt 'P 4/m m m'
_space_group_IT_number 123
_space_group_name_Hall '-P 4 2'
loop_
_atom_site_label
_atom_site_type_symbol
_atom_site_fract_x
_atom_site_fract_y
_atom_site_fract_z
Be1 Be 0.000 0.000 0.000
Tc1 Tc 0.000 0.000 0.500
Sb1 Sb 0.000 0.500 0.500
Se1 Se 0.500 0.500 0.000
# E_form (uncorrected)   395 meV per atom
# Calculated total energy   -4.769 eV/atom
# Mass density   6.302 g/cm3

# BeSbTe2Se | Alexandria via LeMat-Bulk | PBE | optimized geometry
data_BeSbTe2Se
_chemical_formula_sum 'Be1 Sb1 Te2 Se1'
_cell_length_a 5.441
_cell_length_b 5.441
_cell_length_c 5.459
_cell_angle_alpha 90.00
_cell_angle_beta 90.00
_cell_angle_gamma 90.00
_space_group_name_H-M_alt 'P 4/m m m'
_space_group_IT_number 123
_space_group_name_Hall '-P 4 2'
loop_
_atom_site_label
_atom_site_type_symbol
_atom_site_fract_x
_atom_site_fract_y
_atom_site_fract_z
Be1 Be 0.000 0.000 0.000
Sb1 Sb 0.500 0.500 0.000
Te1 Te 0.000 0.500 0.500
Se1 Se 0.500 0.500 0.500
# E_form (uncorrected)   1055 meV per atom
# Calculated total energy   -2.469 eV/atom
# Mass density   4.777 g/cm3
# Excess energy over the best structure of this formula in the dataset   601 meV per atom

# BeSb2TeSe | Alexandria via LeMat-Bulk | PBE | optimized geometry
data_BeSb2TeSe
_chemical_formula_sum 'Be1 Sb2 Te1 Se1'
_cell_length_a 5.429
_cell_length_b 5.429
_cell_length_c 5.428
_cell_angle_alpha 90.00
_cell_angle_beta 90.00
_cell_angle_gamma 90.00
_space_group_name_H-M_alt 'P 4/m m m'
_space_group_IT_number 123
_space_group_name_Hall '-P 4 2'
loop_
_atom_site_label
_atom_site_type_symbol
_atom_site_fract_x
_atom_site_fract_y
_atom_site_fract_z
Be1 Be 0.000 0.000 0.000
Sb1 Sb 0.000 0.500 0.500
Te1 Te 0.500 0.500 0.000
Se1 Se 0.500 0.500 0.500
# E_form (uncorrected)   1119 meV per atom
# Calculated total energy   -2.600 eV/atom
# Mass density   4.765 g/cm3
# Excess energy over the best structure of this formula in the dataset   648 meV per atom

> The highest calculated total energy belongs to which entry?

BeSbTe2Se

> Which formula does entry 3 have?

BeSbSe2

> What is the formula in the seventh record?

BeSbTe2Se

> Which value of E_form (uncorrected) does entry 8 give?

1119 meV per atom